1.
Compound: CeCd6Hg12
Source: the Alexandria database
Functional: PBE
Structure: relaxed

Properties
VASP energy ... -0.820 eV per atom
Energy relative to the elements ... -0.03 eV per atom
Excess energy over the best structure of this formula in the dataset ... 0.0 kJ per mole of atoms

```
CeCd6Hg12
1.0
-5.086 6.106 0.337
-4.744 -4.132 -4.868
-3.112 -3.400 6.483
Ce Cd Hg
1 6 12
Direct
0.000 0.000 0.000
0.135 0.276 0.728
0.724 0.272 0.865
0.272 0.865 0.724
0.865 0.724 0.272
0.276 0.728 0.135
0.728 0.135 0.276
0.469 0.202 0.544
0.202 0.544 0.469
0.544 0.469 0.202
0.531 0.798 0.456
0.798 0.456 0.531
0.456 0.531 0.798
0.851 0.967 0.622
0.378 0.149 0.033
0.033 0.378 0.149
0.149 0.033 0.378
0.622 0.851 0.967
0.967 0.622 0.851
```

=====

2.
Compound: CaHo3Ru
Source: the Alexandria database
Functional: PBE
Structure: relaxed

Properties
VASP energy ... -5.164 eV per atom
Energy relative to the elements ... -0.16 eV per atom

```
CaHo3Ru
1.0
5.413 0.000 0.000
0.000 5.413 0.000
0.000 0.000 5.413
Ru Ca Ho
1 1 3
Direct
0.000 0.000 0.000
0.500 0.500 0.500
0.000 0.500 0.000
0.000 0.000 0.500
0.500 0.000 0.000
```

=====

> energy relative to the elements of number 2 (CaHo3Ru)?

-0.16 eV per atom